# 1
Entry from Alexandria via LeMat-Bulk: a PBEsol-optimized structure of NaLi2Pb2 (meta-GGA SCAN).

a = 3.3824 Å, b = 8.4264 Å, c = 8.4264 Å
α = 90.00°, β = 90.00°, γ = 90.00°
Positions (direct):
Na (0.0000, 0.5000, 0.5000)
Na (0.0000, 0.0000, 0.0000)
Pb (0.0000, 0.6297, 0.1297)
Pb (0.0000, 0.3703, 0.8703)
Pb (0.0000, 0.1297, 0.3703)
Pb (0.0000, 0.8703, 0.6297)
Li (0.5000, 0.8334, 0.3334)
Li (0.5000, 0.1666, 0.6666)
Li (0.5000, 0.6666, 0.8334)
Li (0.5000, 0.3334, 0.1666)

=====

# 2
Entry from Alexandria via LeMat-Bulk: a PBEsol-optimized structure of NaLi2Pd (meta-GGA SCAN).

a = 4.5489 Å, b = 4.5489 Å, c = 4.5489 Å
α = 60.00°, β = 60.00°, γ = 60.00°
Positions (direct):
Pd (0.5000, 0.5000, 0.5000)
Na (0.0000, 0.0000, 0.0000)
Li (0.7500, 0.7500, 0.7500)
Li (0.2500, 0.2500, 0.2500)

=====

Results for size of the total moment: 0.00, 0.00 (in μB/f.u., following the order of the records).
Results for calculated volume: 24.016, 16.639 (in Å³/atom, following the order of the records).
Results for formation enthalpy at 0 K: -0.34, -0.19 (in eV per atom, following the order of the records).